# TlCr2Tc

A geometry-optimized TlCr2Tc structure (PBE-GGA, Alexandria via LeMat-Bulk).

Computed properties:
The energy of formation is 642.8 meV per atom. The value obtained for the total magnetization is 4.2 μB per cell.

Structure (extended XYZ):
```
4
Lattice="-2.0562 2.0562 3.7370 2.0562 -2.0562 3.7370 2.0562 2.0562 -3.7370" Properties=species:S:1:pos:R:3 pbc="T T T"
Tl 0.0000 0.0000 0.0000
Cr 2.0562 0.0000 1.8685
Cr 0.0000 2.0562 1.8685
Tc 0.0000 0.0000 3.7370
```



# TlCr2Tc

A geometry-optimized TlCr2Tc structure (PBE-GGA, Alexandria via LeMat-Bulk).

Computed properties:
The energy of formation is 605.5 meV per atom. The value obtained for the total magnetization is 1.8 μB per cell.

Structure (extended XYZ):
```
4
Lattice="0.0000 3.1767 3.1767 3.1767 0.0000 3.1767 3.1767 3.1767 0.0000" Properties=species:S:1:pos:R:3 pbc="T T T"
Tl 0.0000 0.0000 0.0000
Cr 3.1767 3.1767 3.1767
Cr 4.7650 4.7650 4.7650
Tc 1.5883 1.5883 1.5883
```



# TlCr2Tc

A geometry-optimized TlCr2Tc structure (PBE-GGA, Alexandria via LeMat-Bulk).

Computed properties:
The energy of formation is 982.3 meV per atom. The value obtained for the total magnetization is 0.0 μB per cell.

Structure (extended XYZ):
```
8
Lattice="-3.5353 3.5353 2.7111 3.5353 -3.5353 2.7111 3.5353 3.5353 -2.7111" Properties=species:S:1:pos:R:3 pbc="T T T"
Tl 0.0000 0.0000 0.0000
Tl 0.0000 3.5353 1.3556
Cr 1.7676 2.1737 -0.6778
Cr 4.8969 1.7676 0.6778
Cr 1.7676 1.3616 2.0333
Cr -1.3616 1.7676 3.3889
Tc 3.5353 0.0000 1.3556
Tc 0.0000 0.0000 2.7111
```



# Tl3CrTc

A geometry-optimized Tl3CrTc structure (PBE-GGA, Alexandria via LeMat-Bulk).

Computed properties:
The energy of formation is 1267.2 meV per atom. The value obtained for the total magnetization is 7.3 μB per cell.

Structure (extended XYZ):
```
5
Lattice="5.2244 0.0000 0.0000 0.0000 5.2244 0.0000 0.0000 0.0000 5.2244" Properties=species:S:1:pos:R:3 pbc="T T T"
Tl 0.0000 0.0000 2.6122
Tl 0.0000 2.6122 0.0000
Tl 2.6122 0.0000 0.0000
Cr 0.0000 0.0000 0.0000
Tc 2.6122 2.6122 2.6122
```